BaSeN3: PBEsol geometry, SCAN.

Unit cell a=5.149 b=5.149 c=5.149 alpha=90.00 beta=90.00 gamma=90.00
Space group Pm-3m (No. 221)
Asymmetric unit:
1 Ba 0.000 0.000 0.000 x1
2 Se 0.500 0.500 0.500 x1
3 N 0.000 0.000 0.500 x3

uncorrected energy = -15.24 eV per atom
calculated density = 3.1 g/cm3

=====

La2MoI2: PBEsol geometry, SCAN.

Unit cell a=6.109 b=6.109 c=8.464 alpha=90.00 beta=90.00 gamma=90.00
Space group I4/mmm (No. 139)
Asymmetric unit:
1 La 0.000 0.500 0.250 x4
2 Mo 0.000 0.000 0.000 x2
3 I 0.000 0.000 0.311 x4

uncorrected energy = -38.91 eV per atom
calculated density = 6.6 g/cm3

=====

HfAlCrAs2: PBEsol geometry, SCAN.

Unit cell a=4.488 b=4.488 c=4.902 alpha=90.00 beta=90.00 gamma=90.00
Space group P4/mmm (No. 123)
Asymmetric unit:
1 Hf 0.000 0.000 0.000 x1
2 Al 0.500 0.500 0.000 x1
3 Cr 0.000 0.000 0.500 x1
4 As 0.000 0.500 0.500 x2

E_form = 0.42 eV/atom
uncorrected energy = -25.42 eV per atom
calculated density = 6.9 g/cm3

=====

CaIr: PBEsol geometry, SCAN.

Unit cell a=3.0819 b=3.0819 c=4.4858 alpha=90.00 beta=90.00 gamma=120.00
Space group P-6m2 (No. 187)
Asymmetric unit:
1 Ca 0.0000 0.0000 0.0000 x1
2 Ir 0.3333 0.6667 0.5000 x1

E_form = 0.14 eV/atom
uncorrected energy = -40.24 eV per atom
calculated density = 10.5 g/cm3

=====

CdC3S: PBEsol geometry, SCAN.

Unit cell a=4.235 b=4.235 c=4.235 alpha=90.00 beta=90.00 gamma=90.00
Space group Pm-3m (No. 221)
Asymmetric unit:
1 Cd 0.000 0.000 0.000 x1
2 C 0.000 0.000 0.500 x3
3 S 0.500 0.500 0.500 x1

uncorrected energy = -10.42 eV per atom
calculated density = 3.9 g/cm3

=====

RbTlZn3: PBEsol geometry, SCAN.

Unit cell a=5.322 b=5.322 c=5.322 alpha=90.00 beta=90.00 gamma=90.00
Space group Pm-3m (No. 221)
Asymmetric unit:
1 Rb 0.000 0.000 0.000 x1
2 Tl 0.500 0.500 0.500 x1
3 Zn 0.000 0.500 0.500 x3

E_form = 0.36 eV/atom
uncorrected energy = -26.37 eV per atom
calculated density = 5.4 g/cm3

=====

PrOs2: PBEsol geometry, SCAN.

Unit cell a=5.3183 b=5.3183 c=9.0652 alpha=90.00 beta=90.00 gamma=120.00
Space group P6_3/mmc (No. 194)
Asymmetric unit:
1 Pr 0.3333 0.6667 0.0642 x4
2 Os 0.0000 0.0000 0.0000 x2
3 Os 0.1692 0.3383 0.7500 x6

E_form = -0.16 eV/atom
energy relative to the lowest polymorph listed for this composition = 0 meV/atom
uncorrected energy = -62.52 eV per atom
calculated density = 15.6 g/cm3

=====

Ca2YCd: PBEsol geometry, SCAN.

Unit cell a=3.701 b=3.701 c=9.356 alpha=90.00 beta=90.00 gamma=90.00
Space group P4mm (No. 99)
Asymmetric unit:
1 Ca 0.000 0.000 0.000 x1
2 Ca 0.500 0.500 0.317 x1
3 Y 0.500 0.500 0.711 x1
4 Cd 0.000 0.000 0.525 x1

E_form = -0.20 eV/atom
uncorrected energy = -19.59 eV per atom
calculated density = 3.6 g/cm3

=====

Mo2HAuBr: PBEsol geometry, SCAN.

Unit cell a=4.898 b=4.898 c=3.055 alpha=90.00 beta=90.00 gamma=90.00
Space group P4/mmm (No. 123)
Asymmetric unit:
1 Mo 0.000 0.500 0.000 x2
2 H 0.000 0.000 0.500 x1
3 Au 0.500 0.500 0.500 x1
4 Br 0.000 0.000 0.000 x1

uncorrected energy = -31.02 eV per atom
calculated density = 10.6 g/cm3

=====

LaMgNi: PBEsol geometry, SCAN.

Unit cell a=6.633 b=6.633 c=6.633 alpha=90.00 beta=90.00 gamma=90.00
Space group F-43m (No. 216)
Asymmetric unit:
1 La 0.000 0.000 0.000 x4
2 Mg 0.250 0.250 0.250 x4
3 Ni 0.000 0.000 0.500 x4

E_form = 0.52 eV/atom
uncorrected energy = -20.89 eV per atom
calculated density = 5.1 g/cm3

=====

K3Cu2H7: PBEsol geometry, SCAN.

Unit cell a=3.721 b=3.721 c=20.227 alpha=90.00 beta=90.00 gamma=90.00
Space group I4/mmm (No. 139)
Asymmetric unit:
1 K 0.000 0.000 0.000 x2
2 K 0.000 0.000 0.179 x4
3 Cu 0.000 0.000 0.411 x4
4 H 0.000 0.000 0.328 x4
5 H 0.000 0.000 0.500 x2
6 H 0.000 0.500 0.087 x8

uncorrected energy = -6.70 eV per atom
calculated density = 3.0 g/cm3

=====

Mn2CdTcPt: PBEsol geometry, SCAN.

Unit cell a=4.318 b=4.318 c=5.019 alpha=90.00 beta=90.00 gamma=90.00
Space group P4/mmm (No. 123)
Asymmetric unit:
1 Mn 0.000 0.500 0.000 x2
2 Cd 0.000 0.000 0.500 x1
3 Tc 0.000 0.000 0.000 x1
4 Pt 0.500 0.500 0.500 x1

E_form = 1.13 eV/atom
uncorrected energy = -33.30 eV per atom
calculated density = 9.1 g/cm3

=====

ScCr2In: PBEsol geometry, SCAN.

Unit cell a=2.990 b=2.990 c=7.191 alpha=90.00 beta=90.00 gamma=90.00
Space group P4mm (No. 99)
Asymmetric unit:
1 Sc 0.000 0.000 0.000 x1
2 Cr 0.000 0.000 0.411 x1
3 Cr 0.500 0.500 0.261 x1
4 In 0.500 0.500 0.676 x1

E_form = -0.07 eV/atom
uncorrected energy = -21.17 eV per atom
calculated density = 6.8 g/cm3

=====

Re3P2: PBEsol geometry, SCAN.

Unit cell a=3.9937 b=3.9937 c=5.1103 alpha=90.00 beta=90.00 gamma=120.00
Space group P-3m1 (No. 164)
Asymmetric unit:
1 Re 0.0000 0.0000 0.0000 x1
2 Re 0.3333 0.6667 0.3200 x2
3 P 0.3333 0.6667 0.7903 x2

E_form = 0.19 eV/atom
uncorrected energy = -46.63 eV per atom
calculated density = 14.6 g/cm3

=====

Zn2CrTe: PBEsol geometry, SCAN.

Unit cell a=3.825 b=3.836 c=9.261 alpha=90.00 beta=90.00 gamma=90.00
Space group Immm (No. 71)
Asymmetric unit:
1 Zn 0.000 0.000 0.250 x4
2 Cr 0.000 0.500 0.000 x2
3 Te 0.000 0.500 0.500 x2

uncorrected energy = -20.48 eV per atom
calculated density = 7.6 g/cm3

=====

ReAgOs: PBEsol geometry, SCAN.

Unit cell a=2.806 b=4.582 c=14.322 alpha=90.00 beta=90.00 gamma=90.00
Space group Fmm2 (No. 42)
Asymmetric unit:
1 Re 0.000 0.000 0.000 x4
2 Ag 0.000 0.000 0.325 x4
3 Os 0.000 0.000 0.650 x4

E_form = 0.58 eV/atom
energy relative to the lowest polymorph listed for this composition = 0 meV/atom
uncorrected energy = -57.54 eV per atom
calculated density = 17.5 g/cm3

=====

K2TlCdPd: PBEsol geometry, SCAN.

Unit cell a=6.490 b=6.490 c=5.014 alpha=90.00 beta=90.00 gamma=90.00
Space group P4/mmm (No. 123)
Asymmetric unit:
1 K 0.000 0.500 0.000 x2
2 Tl 0.000 0.000 0.000 x1
3 Cd 0.500 0.500 0.500 x1
4 Pd 0.000 0.000 0.500 x1

E_form = 0.22 eV/atom
uncorrected energy = -30.22 eV per atom
calculated density = 3.9 g/cm3

=====

Y2CuMo: PBEsol geometry, SCAN.

Unit cell a=4.861 b=4.861 c=3.426 alpha=90.00 beta=90.00 gamma=90.00
Space group P4/mmm (No. 123)
Asymmetric unit:
1 Y 0.000 0.500 0.000 x2
2 Cu 0.000 0.000 0.500 x1
3 Mo 0.500 0.500 0.500 x1

E_form = 0.22 eV/atom
energy relative to the lowest polymorph listed for this composition = 7 meV/atom
uncorrected energy = -26.22 eV per atom
calculated density = 6.9 g/cm3

=====

La2SiAg: PBEsol geometry, SCAN.

Unit cell a=3.414 b=3.922 c=7.476 alpha=90.00 beta=90.00 gamma=90.00
Space group Pmmm (No. 47)
Asymmetric unit:
1 La 0.000 0.000 0.233 x2
2 Si 0.500 0.500 0.000 x1
3 Ag 0.500 0.500 0.500 x1

uncorrected energy = -32.36 eV per atom
calculated density = 6.9 g/cm3

=====

MgSiSn2Pd: PBEsol geometry, SCAN.

Unit cell a=5.043 b=5.043 c=4.869 alpha=90.00 beta=90.00 gamma=90.00
Space group P4/mmm (No. 123)
Asymmetric unit:
1 Mg 0.000 0.000 0.000 x1
2 Si 0.500 0.500 0.000 x1
3 Sn 0.000 0.500 0.500 x2
4 Pd 0.000 0.000 0.500 x1

uncorrected energy = -23.61 eV per atom
calculated density = 5.3 g/cm3